No. 1
HfSbMo3 after structural relaxation. Source: Alexandria, functional GGA-PBEsol.

CIF file:
```
data_HfSbMo3
_chemical_formula_sum 'Hf1 Sb1 Mo3'
_cell_length_a 4.7521
_cell_length_b 4.7521
_cell_length_c 4.7521
_cell_angle_alpha 90.00
_cell_angle_beta 90.00
_cell_angle_gamma 90.00
_space_group_name_H-M_alt 'P m -3 m'
_space_group_IT_number 221
_space_group_name_Hall '-P 4 2 3'
loop_
_atom_site_label
_atom_site_fract_x
_atom_site_fract_y
_atom_site_fract_z
Hf1 0.0000 0.0000 0.0000
Sb1 0.5000 0.5000 0.5000
Mo1 0.0000 0.0000 0.5000
```

E_form (uncorrected): 185.1 kJ/mol of atoms

=====

No. 2
HfSc2Mo after structural relaxation. Source: Alexandria, functional GGA-PBEsol.

CIF file:
```
data_HfSc2Mo
_chemical_formula_sum 'Hf3 Sc6 Mo3'
_cell_length_a 2.9968
_cell_length_b 2.9968
_cell_length_c 31.4311
_cell_angle_alpha 90.00
_cell_angle_beta 90.00
_cell_angle_gamma 120.00
_space_group_name_H-M_alt 'R -3 m'
_space_group_IT_number 166
_space_group_name_Hall '-R 3 2"'
loop_
_atom_site_label
_atom_site_fract_x
_atom_site_fract_y
_atom_site_fract_z
Hf1 0.0000 0.0000 0.0000
Sc1 0.0000 0.0000 0.0950
Mo1 0.0000 0.0000 0.5000
```

energy relative to the elements: 39 kJ per mole of atoms

=====

No. 3
HfMoSe2 after structural relaxation. Source: Alexandria, functional GGA-PBEsol.

CIF file:
```
data_HfMoSe2
_chemical_formula_sum 'Hf3 Mo3 Se6'
_cell_length_a 3.2055
_cell_length_b 3.2055
_cell_length_c 25.9992
_cell_angle_alpha 90.00
_cell_angle_beta 90.00
_cell_angle_gamma 120.00
_space_group_name_H-M_alt 'R -3 m'
_space_group_IT_number 166
_space_group_name_Hall '-R 3 2"'
loop_
_atom_site_label
_atom_site_fract_x
_atom_site_fract_y
_atom_site_fract_z
Hf1 0.0000 0.0000 0.0000
Mo1 0.0000 0.0000 0.5000
Se1 0.0000 0.0000 0.4060
```

E_form (uncorrected): -14.7 kJ/mol of atoms

=====

No. 4
Hf2Si4Mo3 after structural relaxation. Source: Alexandria, functional GGA-PBEsol.

CIF file:
```
data_Hf2Si4Mo3
_chemical_formula_sum 'Hf8 Si16 Mo12'
_cell_length_a 6.5193
_cell_length_b 12.4717
_cell_length_c 6.6964
_cell_angle_alpha 90.00
_cell_angle_beta 90.00
_cell_angle_gamma 90.00
_space_group_name_H-M_alt 'P n m a'
_space_group_IT_number 62
_space_group_name_Hall '-P 2ac 2n'
loop_
_atom_site_label
_atom_site_fract_x
_atom_site_fract_y
_atom_site_fract_z
Hf1 0.0072 0.0920 0.1696
Si1 0.0320 0.2500 0.8781
Si2 0.1670 0.0433 0.5409
Si3 0.1994 0.7500 0.6394
Mo1 0.1673 0.2500 0.4881
Mo2 0.1702 0.6234 0.3368
```

E_form (uncorrected): -70.7 kJ/mol of atoms

=====

No. 5
HfSi2Mo2 after structural relaxation. Source: Alexandria, functional GGA-PBEsol.

CIF file:
```
data_HfSi2Mo2
_chemical_formula_sum 'Hf2 Si4 Mo4'
_cell_length_a 4.5290
_cell_length_b 4.5290
_cell_length_c 8.2173
_cell_angle_alpha 90.00
_cell_angle_beta 90.00
_cell_angle_gamma 90.00
_space_group_name_H-M_alt 'I 4/m m m'
_space_group_IT_number 139
_space_group_name_Hall '-I 4 2'
loop_
_atom_site_label
_atom_site_fract_x
_atom_site_fract_y
_atom_site_fract_z
Hf1 0.0000 0.0000 0.0000
Si1 0.0000 0.5000 0.2500
Mo1 0.0000 0.0000 0.3624
```

E_form (uncorrected): 3.0 kJ/mol of atoms

=====

No. 6
Hf10SiMo3 after structural relaxation. Source: Alexandria, functional GGA-PBEsol.

CIF file:
```
data_Hf10SiMo3
_chemical_formula_sum 'Hf20 Si2 Mo6'
_cell_length_a 8.5750
_cell_length_b 8.5750
_cell_length_c 8.6612
_cell_angle_alpha 90.00
_cell_angle_beta 90.00
_cell_angle_gamma 120.00
_space_group_name_H-M_alt 'P 63/m m c'
_space_group_IT_number 194
_space_group_name_Hall '-P 6c 2c'
loop_
_atom_site_label
_atom_site_fract_x
_atom_site_fract_y
_atom_site_fract_z
Hf1 0.0000 0.0000 0.0000
Hf2 0.0768 0.5384 0.2500
Hf3 0.2004 0.4008 0.5446
Si1 0.3333 0.6667 0.7500
Mo1 0.1145 0.2291 0.2500
```

E_form (uncorrected): -16.4 kJ/mol of atoms

=====

No. 7
YHfSiMo2 after structural relaxation. Source: Alexandria, functional GGA-PBEsol.

CIF file:
```
data_YHfSiMo2
_chemical_formula_sum 'Y1 Hf1 Si1 Mo2'
_cell_length_a 4.6594
_cell_length_b 4.6594
_cell_length_c 5.4570
_cell_angle_alpha 90.00
_cell_angle_beta 90.00
_cell_angle_gamma 90.00
_space_group_name_H-M_alt 'P 4/m m m'
_space_group_IT_number 123
_space_group_name_Hall '-P 4 2'
loop_
_atom_site_label
_atom_site_fract_x
_atom_site_fract_y
_atom_site_fract_z
Y1 0.0000 0.0000 0.0000
Hf1 0.0000 0.0000 0.5000
Si1 0.5000 0.5000 0.0000
Mo1 0.0000 0.5000 0.5000
```

E_form (uncorrected): 163.4 kJ/mol of atoms

=====

No. 8
HfSn2Mo after structural relaxation. Source: Alexandria, functional GGA-PBEsol.

CIF file:
```
data_HfSn2Mo
_chemical_formula_sum 'Hf4 Sn8 Mo4'
_cell_length_a 6.7414
_cell_length_b 6.7414
_cell_length_c 6.7414
_cell_angle_alpha 90.00
_cell_angle_beta 90.00
_cell_angle_gamma 90.00
_space_group_name_H-M_alt 'F m -3 m'
_space_group_IT_number 225
_space_group_name_Hall '-F 4 2 3'
loop_
_atom_site_label
_atom_site_fract_x
_atom_site_fract_y
_atom_site_fract_z
Hf1 0.0000 0.0000 0.0000
Sn1 0.2500 0.2500 0.2500
Mo1 0.0000 0.0000 0.5000
```

energy relative to the elements: 4 kJ per mole of atoms

=====

No. 9
Hf3TeMo after structural relaxation. Source: Alexandria, functional GGA-PBEsol.

CIF file:
```
data_Hf3TeMo
_chemical_formula_sum 'Hf3 Te1 Mo1'
_cell_length_a 4.9574
_cell_length_b 4.9574
_cell_length_c 4.9574
_cell_angle_alpha 90.00
_cell_angle_beta 90.00
_cell_angle_gamma 90.00
_space_group_name_H-M_alt 'P m -3 m'
_space_group_IT_number 221
_space_group_name_Hall '-P 4 2 3'
loop_
_atom_site_label
_atom_site_fract_x
_atom_site_fract_y
_atom_site_fract_z
Hf1 0.0000 0.0000 0.5000
Te1 0.5000 0.5000 0.5000
Mo1 0.0000 0.0000 0.0000
```

E_form (uncorrected): 60.6 kJ/mol of atoms

=====

No. 10
HfTiMo4 after structural relaxation. Source: Alexandria, functional GGA-PBEsol.

CIF file:
```
data_HfTiMo4
_chemical_formula_sum 'Hf4 Ti4 Mo16'
_cell_length_a 7.4102
_cell_length_b 7.4102
_cell_length_c 7.4102
_cell_angle_alpha 90.00
_cell_angle_beta 90.00
_cell_angle_gamma 90.00
_space_group_name_H-M_alt 'F -4 3 m'
_space_group_IT_number 216
_space_group_name_Hall 'F -4 2 3'
loop_
_atom_site_label
_atom_site_fract_x
_atom_site_fract_y
_atom_site_fract_z
Hf1 0.0000 0.0000 0.0000
Ti1 0.2500 0.2500 0.2500
Mo1 0.1249 0.1249 0.6249
```

energy relative to the elements: -7 kJ per mole of atoms

=====

No. 11
HfTi2Mo after structural relaxation. Source: Alexandria, functional GGA-PBEsol.

CIF file:
```
data_HfTi2Mo
_chemical_formula_sum 'Hf4 Ti8 Mo4'
_cell_length_a 6.4544
_cell_length_b 6.4544
_cell_length_c 6.4544
_cell_angle_alpha 90.00
_cell_angle_beta 90.00
_cell_angle_gamma 90.00
_space_group_name_H-M_alt 'F m -3 m'
_space_group_IT_number 225
_space_group_name_Hall '-F 4 2 3'
loop_
_atom_site_label
_atom_site_fract_x
_atom_site_fract_y
_atom_site_fract_z
Hf1 0.0000 0.0000 0.0000
Ti1 0.2500 0.2500 0.2500
Mo1 0.0000 0.0000 0.5000
```

energy relative to the elements: 8 kJ per mole of atoms

=====

No. 12
Hf3TlMo after structural relaxation. Source: Alexandria, functional GGA-PBEsol.

CIF file:
```
data_Hf3TlMo
_chemical_formula_sum 'Hf3 Tl1 Mo1'
_cell_length_a 4.9686
_cell_length_b 4.9686
_cell_length_c 4.9686
_cell_angle_alpha 90.00
_cell_angle_beta 90.00
_cell_angle_gamma 90.00
_space_group_name_H-M_alt 'P m -3 m'
_space_group_IT_number 221
_space_group_name_Hall '-P 4 2 3'
loop_
_atom_site_label
_atom_site_fract_x
_atom_site_fract_y
_atom_site_fract_z
Hf1 0.0000 0.0000 0.5000
Tl1 0.5000 0.5000 0.5000
Mo1 0.0000 0.0000 0.0000
```

energy relative to the elements: 76 kJ per mole of atoms

=====

No. 13
HfTl2Mo after structural relaxation. Source: Alexandria, functional GGA-PBEsol.

CIF file:
```
data_HfTl2Mo
_chemical_formula_sum 'Hf4 Tl8 Mo4'
_cell_length_a 6.7840
_cell_length_b 6.7840
_cell_length_c 6.7840
_cell_angle_alpha 90.00
_cell_angle_beta 90.00
_cell_angle_gamma 90.00
_space_group_name_H-M_alt 'F m -3 m'
_space_group_IT_number 225
_space_group_name_Hall '-F 4 2 3'
loop_
_atom_site_label
_atom_site_fract_x
_atom_site_fract_y
_atom_site_fract_z
Hf1 0.0000 0.0000 0.0000
Tl1 0.2500 0.2500 0.2500
Mo1 0.0000 0.0000 0.5000
```

energy relative to the elements: 48 kJ per mole of atoms

=====

No. 14
HfMo2W after structural relaxation. Source: Alexandria, functional GGA-PBEsol.

CIF file:
```
data_HfMo2W
_chemical_formula_sum 'Hf4 Mo8 W4'
_cell_length_a 6.3860
_cell_length_b 6.3860
_cell_length_c 6.3860
_cell_angle_alpha 90.00
_cell_angle_beta 90.00
_cell_angle_gamma 90.00
_space_group_name_H-M_alt 'F m -3 m'
_space_group_IT_number 225
_space_group_name_Hall '-F 4 2 3'
loop_
_atom_site_label
_atom_site_fract_x
_atom_site_fract_y
_atom_site_fract_z
Hf1 0.0000 0.0000 0.0000
Mo1 0.2500 0.2500 0.2500
W1 0.0000 0.0000 0.5000
```

energy relative to the elements: -6 kJ per mole of atoms

=====

No. 15
HfMo3W after structural relaxation. Source: Alexandria, functional GGA-PBEsol.

CIF file:
```
data_HfMo3W
_chemical_formula_sum 'Hf1 Mo3 W1'
_cell_length_a 4.6795
_cell_length_b 4.6795
_cell_length_c 4.6795
_cell_angle_alpha 90.00
_cell_angle_beta 90.00
_cell_angle_gamma 90.00
_space_group_name_H-M_alt 'P m -3 m'
_space_group_IT_number 221
_space_group_name_Hall '-P 4 2 3'
loop_
_atom_site_label
_atom_site_fract_x
_atom_site_fract_y
_atom_site_fract_z
Hf1 0.0000 0.0000 0.0000
Mo1 0.0000 0.5000 0.5000
W1 0.5000 0.5000 0.5000
```

energy relative to the elements: 148 kJ per mole of atoms

=====

No. 16
YHfMo3 after structural relaxation. Source: Alexandria, functional GGA-PBEsol.

CIF file:
```
data_YHfMo3
_chemical_formula_sum 'Y1 Hf1 Mo3'
_cell_length_a 4.7835
_cell_length_b 4.7835
_cell_length_c 4.7835
_cell_angle_alpha 90.00
_cell_angle_beta 90.00
_cell_angle_gamma 90.00
_space_group_name_H-M_alt 'P m -3 m'
_space_group_IT_number 221
_space_group_name_Hall '-P 4 2 3'
loop_
_atom_site_label
_atom_site_fract_x
_atom_site_fract_y
_atom_site_fract_z
Y1 0.0000 0.0000 0.0000
Hf1 0.5000 0.5000 0.5000
Mo1 0.0000 0.5000 0.5000
```

energy relative to the elements: 144 kJ per mole of atoms

=====

No. 17
Hf2ZnMo after structural relaxation. Source: Alexandria, functional GGA-PBEsol.

CIF file:
```
data_Hf2ZnMo
_chemical_formula_sum 'Hf8 Zn4 Mo4'
_cell_length_a 6.5505
_cell_length_b 6.5505
_cell_length_c 6.5505
_cell_angle_alpha 90.00
_cell_angle_beta 90.00
_cell_angle_gamma 90.00
_space_group_name_H-M_alt 'F m -3 m'
_space_group_IT_number 225
_space_group_name_Hall '-F 4 2 3'
loop_
_atom_site_label
_atom_site_fract_x
_atom_site_fract_y
_atom_site_fract_z
Hf1 0.2500 0.2500 0.2500
Zn1 0.0000 0.0000 0.0000
Mo1 0.0000 0.0000 0.5000
```

energy relative to the elements: -12 kJ per mole of atoms

=====

No. 18
HfZrMo4 after structural relaxation. Source: Alexandria, functional GGA-PBEsol.

CIF file:
```
data_HfZrMo4
_chemical_formula_sum 'Hf4 Zr4 Mo16'
_cell_length_a 7.5066
_cell_length_b 7.5066
_cell_length_c 7.5066
_cell_angle_alpha 90.00
_cell_angle_beta 90.00
_cell_angle_gamma 90.00
_space_group_name_H-M_alt 'F -4 3 m'
_space_group_IT_number 216
_space_group_name_Hall 'F -4 2 3'
loop_
_atom_site_label
_atom_site_fract_x
_atom_site_fract_y
_atom_site_fract_z
Hf1 0.0000 0.0000 0.0000
Zr1 0.2500 0.2500 0.7500
Mo1 0.1250 0.1250 0.3750
```

energy relative to the elements: -14 kJ per mole of atoms

=====

No. 19
Hf2N after structural relaxation. Source: Alexandria, functional GGA-PBEsol.

CIF file:
```
data_Hf2N
_chemical_formula_sum 'Hf4 N2'
_cell_length_a 5.2887
_cell_length_b 5.2887
_cell_length_c 3.2198
_cell_angle_alpha 90.00
_cell_angle_beta 90.00
_cell_angle_gamma 90.00
_space_group_name_H-M_alt 'P 42/m n m'
_space_group_IT_number 136
_space_group_name_Hall '-P 4n 2n'
loop_
_atom_site_label
_atom_site_fract_x
_atom_site_fract_y
_atom_site_fract_z
Hf1 0.2045 0.2045 0.0000
N1 0.0000 0.0000 0.5000
```

E_form (uncorrected): -135.5 kJ/mol of atoms

=====

No. 20
Hf3N2 after structural relaxation. Source: Alexandria, functional GGA-PBEsol.

CIF file:
```
data_Hf3N2
_chemical_formula_sum 'Hf9 N6'
_cell_length_a 3.1550
_cell_length_b 3.1550
_cell_length_c 23.5750
_cell_angle_alpha 90.00
_cell_angle_beta 90.00
_cell_angle_gamma 120.00
_space_group_name_H-M_alt 'R 3 m'
_space_group_IT_number 160
_space_group_name_Hall 'R 3 -2"'
loop_
_atom_site_label
_atom_site_fract_x
_atom_site_fract_y
_atom_site_fract_z
Hf1 0.0000 0.0000 0.0000
Hf2 0.0000 0.0000 0.2223
Hf3 0.0000 0.0000 0.7767
N1 0.0000 0.0000 0.4968
N2 0.0000 0.0000 0.6118
```

E_form (uncorrected): -150.5 kJ/mol of atoms